Record 1
Nb3InPt after structural relaxation. Source: Alexandria via LeMat-Bulk, functional PBE.

Output
The calculation puts the formation energy at 1913 meV/atom.

Cell: 4.9412 4.9412 4.9412 Å, 90.00 90.00 90.00°
Atoms (fractional coordinates):
Nb 0.0000 0.0000 0.5000
Nb 0.0000 0.5000 0.0000
Nb 0.5000 0.0000 0.0000
In 0.0000 0.0000 0.0000
Pt 0.5000 0.5000 0.5000

Record 2
NbInPt2 after structural relaxation. Source: Alexandria via LeMat-Bulk, functional PBE.

Output
The calculation puts the formation energy at -521 meV/atom.

Cell: 2.9629 2.9629 7.9194 Å, 90.00 90.00 90.00°
Atoms (fractional coordinates):
Nb 0.0000 0.0000 0.0000
In 0.0000 0.0000 0.5000
Pt 0.5000 0.5000 0.2393
Pt 0.5000 0.5000 0.7607

Record 3
NbIn3Pt after structural relaxation. Source: Alexandria via LeMat-Bulk, functional PBE.

Output
The calculation puts the formation energy at 1092 meV/atom.

Cell: 5.3181 5.3181 5.3181 Å, 90.00 90.00 90.00°
Atoms (fractional coordinates):
Nb 0.0000 0.0000 0.0000
In 0.0000 0.0000 0.5000
In 0.0000 0.5000 0.0000
In 0.5000 0.0000 0.0000
Pt 0.5000 0.5000 0.5000

Record 4
NbInPt2 after structural relaxation. Source: Alexandria via LeMat-Bulk, functional PBE.

Output
The calculation puts the formation energy at -54 meV/atom.

Cell: 7.3598 7.3598 5.7279 Å, 90.00 90.00 90.00°
Atoms (fractional coordinates):
Nb 0.0000 0.0000 0.0000
Nb 0.0000 0.5000 0.2500
Nb 0.5000 0.0000 0.7500
Nb 0.5000 0.5000 0.5000
In 0.0000 0.0000 0.5000
In 0.0000 0.5000 0.7500
In 0.5000 0.0000 0.2500
In 0.5000 0.5000 0.0000
Pt 0.2341 0.2500 0.1250
Pt 0.2500 0.7341 0.3750
Pt 0.2500 0.7659 0.8750
Pt 0.2659 0.2500 0.6250
Pt 0.7341 0.7500 0.6250
Pt 0.7500 0.2341 0.8750
Pt 0.7500 0.2659 0.3750
Pt 0.7659 0.7500 0.1250

Record 5
NbInPtRh after structural relaxation. Source: Alexandria via LeMat-Bulk, functional PBE.

Output
The calculation puts the formation energy at -356 meV/atom.

Cell: 6.5006 6.5006 6.5006 Å, 90.00 90.00 90.00°
Atoms (fractional coordinates):
Nb 0.0000 0.0000 0.0000
Nb 0.0000 0.5000 0.5000
Nb 0.5000 0.0000 0.5000
Nb 0.5000 0.5000 0.0000
In 0.0000 0.0000 0.5000
In 0.0000 0.5000 0.0000
In 0.5000 0.0000 0.0000
In 0.5000 0.5000 0.5000
Pt 0.2500 0.2500 0.7500
Pt 0.2500 0.7500 0.2500
Pt 0.7500 0.2500 0.2500
Pt 0.7500 0.7500 0.7500
Rh 0.2500 0.2500 0.2500
Rh 0.2500 0.7500 0.7500
Rh 0.7500 0.2500 0.7500
Rh 0.7500 0.7500 0.2500

Record 6
NbInRuPt after structural relaxation. Source: Alexandria via LeMat-Bulk, functional PBE.

Output
The calculation puts the formation energy at -203 meV/atom.

Cell: 6.4852 6.4852 6.4852 Å, 90.00 90.00 90.00°
Atoms (fractional coordinates):
Nb 0.0000 0.0000 0.0000
Nb 0.0000 0.5000 0.5000
Nb 0.5000 0.0000 0.5000
Nb 0.5000 0.5000 0.0000
In 0.0000 0.0000 0.5000
In 0.0000 0.5000 0.0000
In 0.5000 0.0000 0.0000
In 0.5000 0.5000 0.5000
Ru 0.2500 0.2500 0.7500
Ru 0.2500 0.7500 0.2500
Ru 0.7500 0.2500 0.2500
Ru 0.7500 0.7500 0.7500
Pt 0.2500 0.2500 0.2500
Pt 0.2500 0.7500 0.7500
Pt 0.7500 0.2500 0.7500
Pt 0.7500 0.7500 0.2500

Record 7
SrNb2InPt after structural relaxation. Source: Alexandria via LeMat-Bulk, functional PBE.

Output
The calculation puts the formation energy at 2340 meV/atom.

Cell: 4.8721 4.8721 5.4084 Å, 90.00 90.00 90.00°
Atoms (fractional coordinates):
Sr 0.0000 0.0000 0.0000
Nb 0.0000 0.5000 0.0000
Nb 0.5000 0.0000 0.0000
In 0.0000 0.0000 0.5000
Pt 0.5000 0.5000 0.5000

Record 8
TaNb2InPt after structural relaxation. Source: Alexandria via LeMat-Bulk, functional PBE.

Output
The calculation puts the formation energy at 1999 meV/atom.

Cell: 4.9252 4.9252 4.9437 Å, 90.00 90.00 90.00°
Atoms (fractional coordinates):
Ta 0.0000 0.0000 0.0000
Nb 0.0000 0.5000 0.5000
Nb 0.5000 0.0000 0.5000
In 0.0000 0.0000 0.5000
Pt 0.5000 0.5000 0.0000

Record 9
NbInTcPt2 after structural relaxation. Source: Alexandria via LeMat-Bulk, functional PBE.

Output
The calculation puts the formation energy at 849 meV/atom.

Cell: 4.9656 4.9656 4.6898 Å, 90.00 90.00 90.00°
Atoms (fractional coordinates):
Nb 0.0000 0.0000 0.0000
In 0.5000 0.5000 0.0000
Tc 0.0000 0.0000 0.5000
Pt 0.0000 0.5000 0.5000
Pt 0.5000 0.0000 0.5000

Record 10
NbInPt2W after structural relaxation. Source: Alexandria via LeMat-Bulk, functional PBE.

Output
The calculation puts the formation energy at 1300 meV/atom.

Cell: 4.7902 4.7902 5.0768 Å, 90.00 90.00 90.00°
Atoms (fractional coordinates):
Nb 0.0000 0.0000 0.0000
In 0.5000 0.5000 0.0000
Pt 0.0000 0.5000 0.5000
Pt 0.5000 0.0000 0.5000
W 0.5000 0.5000 0.5000

Record 11
Pu2NbIn after structural relaxation. Source: Alexandria via LeMat-Bulk, functional PBE.

Output
The calculation puts the formation energy at 84 meV/atom.

Cell: 4.3214 4.3214 4.8272 Å, 90.00 90.00 90.00°
Atoms (fractional coordinates):
Pu 0.0000 0.5000 0.0000
Pu 0.5000 0.0000 0.0000
Nb 0.0000 0.0000 0.5000
In 0.5000 0.5000 0.5000

Record 12
Pu2NbIn after structural relaxation. Source: Alexandria via LeMat-Bulk, functional PBE.

Output
The calculation puts the formation energy at 195 meV/atom.

Cell: 3.2122 3.2122 32.0946 Å, 90.00 90.00 120.00°
Atoms (fractional coordinates):
Pu 0.0000 0.0000 0.2441
Pu 0.0000 0.0000 0.7559
Pu 0.3333 0.6667 0.4225
Pu 0.3333 0.6667 0.9108
Pu 0.6667 0.3333 0.0892
Pu 0.6667 0.3333 0.5775
Nb 0.0000 0.0000 0.5000
Nb 0.3333 0.6667 0.1667
Nb 0.6667 0.3333 0.8333
In 0.0000 0.0000 0.0000
In 0.3333 0.6667 0.6667
In 0.6667 0.3333 0.3333

Record 13
Rb3NbIn after structural relaxation. Source: Alexandria via LeMat-Bulk, functional PBE.

Output
The calculation puts the formation energy at 1213 meV/atom.

Cell: 6.8947 6.8947 6.8947 Å, 90.00 90.00 90.00°
Atoms (fractional coordinates):
Rb 0.0000 0.0000 0.5000
Rb 0.0000 0.5000 0.0000
Rb 0.5000 0.0000 0.0000
Nb 0.0000 0.0000 0.0000
In 0.5000 0.5000 0.5000

Record 14
RbNbIn2 after structural relaxation. Source: Alexandria via LeMat-Bulk, functional PBE.

Output
The calculation puts the formation energy at 775 meV/atom.

Cell: 6.0452 6.0452 19.1796 Å, 90.00 90.00 90.00°
Atoms (fractional coordinates):
Rb 0.0000 0.0000 0.0000
Rb 0.0000 0.5000 0.2500
Rb 0.5000 0.0000 0.7500
Rb 0.5000 0.5000 0.5000
Nb 0.0000 0.0000 0.5000
Nb 0.0000 0.5000 0.7500
Nb 0.5000 0.0000 0.2500
Nb 0.5000 0.5000 0.0000
In 0.0011 0.2500 0.6250
In 0.2500 0.5011 0.8750
In 0.2500 0.9989 0.3750
In 0.4989 0.2500 0.1250
In 0.5011 0.7500 0.1250
In 0.7500 0.0011 0.3750
In 0.7500 0.4989 0.8750
In 0.9989 0.7500 0.6250

Record 15
RbNbIn2 after structural relaxation. Source: Alexandria via LeMat-Bulk, functional PBE.

Output
The calculation puts the formation energy at 749 meV/atom.

Cell: 7.6349 7.6349 7.6349 Å, 90.00 90.00 90.00°
Atoms (fractional coordinates):
Rb 0.0000 0.0000 0.0000
Rb 0.0000 0.5000 0.5000
Rb 0.5000 0.0000 0.5000
Rb 0.5000 0.5000 0.0000
Nb 0.0000 0.0000 0.5000
Nb 0.0000 0.5000 0.0000
Nb 0.5000 0.0000 0.0000
Nb 0.5000 0.5000 0.5000
In 0.2500 0.2500 0.2500
In 0.2500 0.2500 0.7500
In 0.2500 0.7500 0.2500
In 0.2500 0.7500 0.7500
In 0.7500 0.2500 0.2500
In 0.7500 0.2500 0.7500
In 0.7500 0.7500 0.2500
In 0.7500 0.7500 0.7500

Record 16
NbIn2Re after structural relaxation. Source: Alexandria via LeMat-Bulk, functional PBE.

Output
The calculation puts the formation energy at 531 meV/atom.

Cell: 6.6544 6.6544 6.6544 Å, 90.00 90.00 90.00°
Atoms (fractional coordinates):
Nb 0.0000 0.0000 0.0000
Nb 0.0000 0.5000 0.5000
Nb 0.5000 0.0000 0.5000
Nb 0.5000 0.5000 0.0000
In 0.2500 0.2500 0.2500
In 0.2500 0.2500 0.7500
In 0.2500 0.7500 0.2500
In 0.2500 0.7500 0.7500
In 0.7500 0.2500 0.2500
In 0.7500 0.2500 0.7500
In 0.7500 0.7500 0.2500
In 0.7500 0.7500 0.7500
Re 0.0000 0.0000 0.5000
Re 0.0000 0.5000 0.0000
Re 0.5000 0.0000 0.0000
Re 0.5000 0.5000 0.5000

Record 17
NbInRe3 after structural relaxation. Source: Alexandria via LeMat-Bulk, functional PBE.

Output
The calculation puts the formation energy at 2198 meV/atom.

Cell: 4.7962 4.7962 4.7962 Å, 90.00 90.00 90.00°
Atoms (fractional coordinates):
Nb 0.0000 0.0000 0.0000
In 0.5000 0.5000 0.5000
Re 0.0000 0.0000 0.5000
Re 0.0000 0.5000 0.0000
Re 0.5000 0.0000 0.0000

Record 18
Nb3InRe after structural relaxation. Source: Alexandria via LeMat-Bulk, functional PBE.

Output
The calculation puts the formation energy at 944 meV/atom.

Cell: 4.8749 4.8749 4.8749 Å, 90.00 90.00 90.00°
Atoms (fractional coordinates):
Nb 0.0000 0.0000 0.5000
Nb 0.0000 0.5000 0.0000
Nb 0.5000 0.0000 0.0000
In 0.5000 0.5000 0.5000
Re 0.0000 0.0000 0.0000

Record 19
Nb2InRe2 after structural relaxation. Source: Alexandria via LeMat-Bulk, functional PBE.

Output
The calculation puts the formation energy at 271 meV/atom.

Cell: 7.6805 7.6805 3.1018 Å, 90.00 90.00 90.00°
Atoms (fractional coordinates):
Nb 0.1566 0.3434 0.0000
Nb 0.3434 0.8434 0.0000
Nb 0.6566 0.1566 0.0000
Nb 0.8434 0.6566 0.0000
In 0.0000 0.0000 0.5000
In 0.5000 0.5000 0.5000
Re 0.1376 0.6376 0.5000
Re 0.3624 0.1376 0.5000
Re 0.6376 0.8624 0.5000
Re 0.8624 0.3624 0.5000

Record 20
NbInRe2 after structural relaxation. Source: Alexandria via LeMat-Bulk, functional PBE.

Output
The calculation puts the formation energy at 1012 meV/atom.

Cell: 7.4665 7.4665 5.4898 Å, 90.00 90.00 90.00°
Atoms (fractional coordinates):
Nb 0.0000 0.0000 0.0000
Nb 0.0000 0.5000 0.2500
Nb 0.5000 0.0000 0.7500
Nb 0.5000 0.5000 0.5000
In 0.0000 0.0000 0.5000
In 0.0000 0.5000 0.7500
In 0.5000 0.0000 0.2500
In 0.5000 0.5000 0.0000
Re 0.2166 0.2500 0.1250
Re 0.2500 0.7166 0.3750
Re 0.2500 0.7834 0.8750
Re 0.2834 0.2500 0.6250
Re 0.7166 0.7500 0.6250
Re 0.7500 0.2166 0.8750
Re 0.7500 0.2834 0.3750
Re 0.7834 0.7500 0.1250

Record 21
NbInRe3 after structural relaxation. Source: Alexandria via LeMat-Bulk, functional PBE.

Output
The calculation puts the formation energy at 2762 meV/atom.

Cell: 4.7356 4.7356 4.7356 Å, 90.00 90.00 90.00°
Atoms (fractional coordinates):
Nb 0.0000 0.0000 0.0000
In 0.5000 0.5000 0.5000
Re 0.0000 0.5000 0.5000
Re 0.5000 0.0000 0.5000
Re 0.5000 0.5000 0.0000

Record 22
Nb2InReS after structural relaxation. Source: Alexandria via LeMat-Bulk, functional PBE.

Output
As for the uncorrected formation energy: 12.10 eV/f.u.

Cell: 5.0503 5.0503 4.8581 Å, 90.00 90.00 90.00°
Atoms (fractional coordinates):
Nb 0.0000 0.5000 0.0000
Nb 0.5000 0.0000 0.0000
In 0.0000 0.0000 0.0000
Re 0.0000 0.0000 0.5000
S 0.5000 0.5000 0.5000

Record 23
NbIn2ReSi after structural relaxation. Source: Alexandria via LeMat-Bulk, functional PBE.

Output
As for the uncorrected formation energy: 7.33 eV/f.u.

Cell: 4.8910 4.8910 4.7157 Å, 90.00 90.00 90.00°
Atoms (fractional coordinates):
Nb 0.0000 0.0000 0.0000
In 0.0000 0.5000 0.5000
In 0.5000 0.0000 0.5000
Re 0.5000 0.5000 0.0000
Si 0.0000 0.0000 0.5000

Record 24
NbInReTe2 after structural relaxation. Source: Alexandria via LeMat-Bulk, functional PBE.

Output
As for the uncorrected formation energy: 4.40 eV/f.u.

Cell: 5.2926 5.2926 5.0112 Å, 90.00 90.00 90.00°
Atoms (fractional coordinates):
Nb 0.0000 0.0000 0.0000
In 0.5000 0.5000 0.0000
Re 0.0000 0.0000 0.5000
Te 0.0000 0.5000 0.5000
Te 0.5000 0.0000 0.5000

Record 25
NbInRh after structural relaxation. Source: Alexandria via LeMat-Bulk, functional PBE.

Output
The calculation puts the formation energy at -131 meV/atom.

Cell: 6.2347 6.2347 6.2347 Å, 90.00 90.00 90.00°
Atoms (fractional coordinates):
Nb 0.0000 0.0000 0.0000
Nb 0.0000 0.5000 0.5000
Nb 0.5000 0.0000 0.5000
Nb 0.5000 0.5000 0.0000
In 0.0000 0.0000 0.5000
In 0.0000 0.5000 0.0000
In 0.5000 0.0000 0.0000
In 0.5000 0.5000 0.5000
Rh 0.2500 0.2500 0.2500
Rh 0.2500 0.7500 0.7500
Rh 0.7500 0.2500 0.7500
Rh 0.7500 0.7500 0.2500

Record 26
Nb2InRh2 after structural relaxation. Source: Alexandria via LeMat-Bulk, functional PBE.

Output
The calculation puts the formation energy at -329 meV/atom.

Cell: 7.6629 7.6629 2.9895 Å, 90.00 90.00 90.00°
Atoms (fractional coordinates):
Nb 0.1660 0.3340 0.0000
Nb 0.3340 0.8340 0.0000
Nb 0.6660 0.1660 0.0000
Nb 0.8340 0.6660 0.0000
In 0.0000 0.0000 0.5000
In 0.5000 0.5000 0.5000
Rh 0.1279 0.6279 0.5000
Rh 0.3721 0.1279 0.5000
Rh 0.6279 0.8721 0.5000
Rh 0.8721 0.3721 0.5000

Record 27
NbInRh2 after structural relaxation. Source: Alexandria via LeMat-Bulk, functional PBE.

Output
The calculation puts the formation energy at 57 meV/atom.

Cell: 7.1785 7.1785 5.7957 Å, 90.00 90.00 90.00°
Atoms (fractional coordinates):
Nb 0.0000 0.0000 0.0000
Nb 0.0000 0.5000 0.2500
Nb 0.5000 0.0000 0.7500
Nb 0.5000 0.5000 0.5000
In 0.0000 0.0000 0.5000
In 0.0000 0.5000 0.7500
In 0.5000 0.0000 0.2500
In 0.5000 0.5000 0.0000
Rh 0.2184 0.2500 0.1250
Rh 0.2500 0.7184 0.3750
Rh 0.2500 0.7816 0.8750
Rh 0.2816 0.2500 0.6250
Rh 0.7184 0.7500 0.6250
Rh 0.7500 0.2184 0.8750
Rh 0.7500 0.2816 0.3750
Rh 0.7816 0.7500 0.1250

Record 28
Nb2InRh2 after structural relaxation. Source: Alexandria via LeMat-Bulk, functional PBE.

Output
The calculation puts the formation energy at -154 meV/atom.

Cell: 7.8509 7.8509 2.9256 Å, 90.00 90.00 90.00°
Atoms (fractional coordinates):
Nb 0.1563 0.3437 0.0000
Nb 0.3437 0.8437 0.0000
Nb 0.6563 0.1563 0.0000
Nb 0.8437 0.6563 0.0000
In 0.0000 0.0000 0.0000
In 0.5000 0.5000 0.0000
Rh 0.1340 0.6340 0.5000
Rh 0.3660 0.1340 0.5000
Rh 0.6340 0.8660 0.5000
Rh 0.8660 0.3660 0.5000

Number 1: calculated total energy -0.216 hartree per atom. Number 2: calculated total energy -0.248 hartree per atom. Number 3: calculated total energy -0.139 hartree per atom. Number 4: calculated total energy -0.231 hartree per atom. Number 5: calculated total energy -0.254 hartree per atom. Number 6: calculated total energy -0.266 hartree per atom. Number 7: calculated total energy -0.139 hartree per atom. Number 8: calculated total energy -0.226 hartree per atom. Number 9: calculated total energy -0.228 hartree per atom. Number 10: calculated total energy -0.230 hartree per atom. Number 11: calculated total energy -0.378 hartree per atom. Number 12: calculated total energy -0.374 hartree per atom. Number 13: calculated total energy -0.071 hartree per atom. Number 14: calculated total energy -0.123 hartree per atom. Number 15: calculated total energy -0.124 hartree per atom. Number 16: calculated total energy -0.238 hartree per atom. Number 17: calculated total energy -0.288 hartree per atom. Number 18: calculated total energy -0.299 hartree per atom. Number 19: calculated total energy -0.341 hartree per atom. Number 20: calculated total energy -0.309 hartree per atom. Number 21: calculated total energy -0.267 hartree per atom. Number 22: calculated total energy -0.201 hartree per atom. Number 23: calculated total energy -0.192 hartree per atom. Number 24: calculated total energy -0.199 hartree per atom. Number 25: calculated total energy -0.252 hartree per atom. Number 26: calculated total energy -0.288 hartree per atom. Number 27: calculated total energy -0.251 hartree per atom. Number 28: calculated total energy -0.282 hartree per atom.